4
Lattice="3.0889 0.0000 0.0000 0.0000 4.3327 0.0000 0.0000 0.0000 4.8058" Properties=species:S:1:pos:R:3 comment="CaCoRe2 | the Alexandria database | PBE | optimized geometry" n_ef_per_ev_atom=0.823 spacegroup="No. 47" e_tot_ev_per_atom=-7.88 delta_e_f_ev_per_atom=0.619 pbc="T T T"
Ca 0.0000 0.0000 0.0000
Co 1.5444 2.1664 0.0000
Re 0.0000 2.1664 2.4029
Re 1.5444 0.0000 2.4029

5
Lattice="4.4253 0.0000 0.0000 0.0000 4.4253 0.0000 0.0000 0.0000 4.4253" Properties=species:S:1:pos:R:3 comment="ZnRe3Rh | the Alexandria database | PBE | optimized geometry" n_ef_per_ev_atom=1.158 spacegroup="No. 221" e_tot_ev_per_atom=-7.14 delta_e_f_ev_per_atom=2.056 pbc="T T T"
Zn 0.0000 0.0000 0.0000
Re 0.0000 0.0000 2.2127
Re 0.0000 2.2127 0.0000
Re 2.2127 0.0000 0.0000
Rh 2.2127 2.2127 2.2127

12
Lattice="5.3644 0.0000 0.0000 -2.6822 4.6457 0.0000 0.0000 0.0000 8.7182" Properties=species:S:1:pos:R:3 comment="TbDy3Ir8 | the Alexandria database | PBE | optimized geometry" n_ef_per_ev_atom=0.334 spacegroup="No. 156" e_tot_ev_per_atom=-8.25 delta_e_f_ev_per_atom=-0.810 pbc="T T T"
Tb 0.0000 0.0000 0.0000
Dy 0.0000 0.0000 3.1874
Dy 2.6822 1.5486 4.3584
Dy 2.6822 1.5486 7.5438
Ir 0.0000 1.5188 5.9499
Ir -1.3669 3.8863 5.9499
Ir 0.0000 3.0971 3.7720
Ir 0.0000 3.0971 8.1307
Ir 2.6822 0.0300 1.5952
Ir 1.3671 2.3078 1.5952
Ir 1.3669 3.8863 5.9499
Ir 3.9973 2.3078 1.5952

5
Lattice="3.8518 0.0000 0.0000 0.0000 3.8518 0.0000 0.0000 0.0000 4.4130" Properties=species:S:1:pos:R:3 comment="TiAsHPd2 | the Alexandria database | PBE | optimized geometry" n_ef_per_ev_atom=0.266 spacegroup="No. 123" e_tot_ev_per_atom=-5.69 pbc="T T T"
Ti 0.0000 0.0000 0.0000
As 1.9259 1.9259 0.0000
H 0.0000 0.0000 2.2065
Pd 0.0000 1.9259 2.2065
Pd 1.9259 0.0000 2.2065